Here is a relaxed structure of LiWAu from the Alexandria database. Energies are from GGA-PBE.

Summary:
- Fermi-level density of states: 0.673 states/eV/atom
- E_form: 0.306 eV per atom

a = 6.5591 Å, b = 6.5591 Å, c = 6.5591 Å
α = 155.92°, β = 155.92°, γ = 34.31°
Last column: nearest neighbours and their distance in Å.
Positions (direct):
Au: 0.9928 0.9928 0.0000  4 Li 2.73, 4 Au 2.74, 4 W 2.93
Li: 0.3388 0.3388 0.0000  4 Au 2.73, 4 Li 2.74, 4 W 2.88
W: 0.6684 0.6684 0.0000  4 W 2.74, 4 Li 2.88, 4 Au 2.93

---

Here is a relaxed structure of SrTc2Pb from the Alexandria database. Energies are from GGA-PBE.

Summary:
- Fermi-level density of states: 1.309 states/eV/atom
- E_form: 0.791 eV per atom

a = 5.2782 Å, b = 3.0692 Å, c = 5.9131 Å
α = 89.97°, β = 90.00°, γ = 90.00°
Last column: nearest neighbours and their distance in Å.
Positions (direct):
Pb: 0.5000 0.2500 0.2500  4 Tc 2.86, 2 Pb 3.07
Sr: 0.5000 0.7500 0.7500  2 Sr 3.07, 4 Pb 3.33
Tc: 0.0000 0.2500 0.0625  1 Tc 2.22
Tc: 0.0000 0.2500 0.4375  1 Tc 2.22

---

Here is a relaxed structure of Gd2SiO from the Alexandria database. Energies are from GGA-PBE.

Summary:
- DFT total energy: -11.239 eV per atom
- Fermi-level density of states: 0.557 states/eV/atom

a = 3.7342 Å, b = 3.7342 Å, c = 6.8429 Å
α = 74.17°, β = 74.17°, γ = 60.00°
Last column: nearest neighbours and their distance in Å.
Positions (direct):
Si: 0.5000 0.5000 0.5000  6 Gd 2.84
Gd: 0.2619 0.2619 0.2142  3 O 2.57, 3 Si 2.84
Gd: 0.7381 0.7381 0.7858  3 O 2.57, 3 Si 2.84
O: 0.0000 0.0000 0.0000  6 Gd 2.57

---

Here is a relaxed structure of AuCl2 from the Alexandria database. Energies are from GGA-PBE.

Summary:
- DFT total energy: -2.029 eV per atom
- Fermi-level density of states: 1.794 states/eV/atom

a = 4.2781 Å, b = 4.2781 Å, c = 9.1104 Å
α = 90.00°, β = 90.00°, γ = 120.00°
Last column: nearest neighbours and their distance in Å.
Positions (direct):
Au: 0.6667 0.3333 0.2500  3 Cl 2.47
Au: 0.3333 0.6667 0.7500  3 Cl 2.47
Cl: 0.0000 0.0000 0.0000  6 Cl 3.36, 6 Au 3.36
Cl: 0.0000 0.0000 0.5000  6 Au 3.36, 6 Cl 3.36
Cl: 0.3333 0.6667 0.2500  3 Au 2.47
Cl: 0.6667 0.3333 0.7500  3 Au 2.47

---

Here is a relaxed structure of Mn2CrCl from the Alexandria database. Energies are from GGA-PBE.

Summary:
- DFT total energy: -7.253 eV per atom
- Fermi-level density of states: 0.611 states/eV/atom

a = 2.9371 Å, b = 2.9371 Å, c = 7.2266 Å
α = 90.00°, β = 90.00°, γ = 89.08°
Last column: nearest neighbours and their distance in Å.
Positions (direct):
Cr: 0.5000 0.5000 0.7500  8 Mn 2.61-2.63
Mn: 0.0000 0.0000 0.9709  4 Cr 2.61-2.63, 4 Cl 2.88-2.91
Mn: 0.0000 0.0000 0.5291  4 Cr 2.61-2.63, 4 Cl 2.88-2.91
Cl: 0.5000 0.5000 0.2500  8 Mn 2.88-2.91, 4 Cl 2.94

---

Here is a relaxed structure of SbPd2I from the Alexandria database. Energies are from GGA-PBE.

Summary:
- DFT total energy: -4.217 eV per atom
- Fermi-level density of states: 0.471 states/eV/atom

a = 4.2878 Å, b = 7.8003 Å, c = 7.1797 Å
α = 111.75°, β = 107.36°, γ = 89.96°
Last column: nearest neighbours and their distance in Å.
Positions (direct):
Sb: 0.5443 0.9094 0.5748  6 Pd 2.61-2.74
Sb: 0.0440 0.4092 0.5742  6 Pd 2.61-2.74
Pd: 0.0985 0.7761 0.6829  3 Sb 2.61-2.66, 1 I 2.69
Pd: 0.9672 0.0282 0.4204  3 Sb 2.71-2.74, 2 I 2.94, 2 Pd 2.98
Pd: 0.4673 0.5284 0.4204  3 Sb 2.71-2.74, 2 I 2.94, 2 Pd 2.98
Pd: 0.5984 0.2762 0.6828  3 Sb 2.61-2.66, 1 I 2.69
I: 0.3099 0.9611 0.1059  3 Pd 2.69-2.94
I: 0.8100 0.4613 0.1057  3 Pd 2.69-2.94

---

Here is a relaxed structure of Dy2YPaP4 from the Alexandria database. Energies are from GGA-PBE.

Summary:
- Fermi-level density of states: 0.585 states/eV/atom
- E_form: -1.551 eV per atom

a = 3.9990 Å, b = 6.9075 Å, c = 6.9090 Å
α = 109.47°, β = 90.00°, γ = 90.00°
Last column: nearest neighbours and their distance in Å.
Positions (direct):
Dy: 0.5000 0.0000 0.5000  6 P 2.84-2.86
Dy: 0.0000 0.5000 0.5000  6 P 2.82
Y: 0.0000 0.0000 0.0000  6 P 2.82-2.83
Pa: 0.5000 0.5000 0.0000  6 P 2.78-2.80
P: 0.5000 0.2538 0.2471  1 Pa 2.78, 3 Dy 2.82-2.86, 2 Y 2.83
P: 0.5000 0.7462 0.7529  1 Pa 2.78, 3 Dy 2.82-2.86, 2 Y 2.83
P: 0.0000 0.2537 0.7532  2 Pa 2.80, 3 Dy 2.82-2.84, 1 Y 2.82
P: 0.0000 0.7463 0.2468  2 Pa 2.80, 3 Dy 2.82-2.84, 1 Y 2.82

---

Here is a relaxed structure of KZnP2 from the Alexandria database. Energies are from GGA-PBE.

Summary:
- Fermi-level density of states: 0.547 states/eV/atom
- E_form: 0.036 eV per atom

a = 5.3206 Å, b = 5.3206 Å, c = 5.3206 Å
α = 132.44°, β = 104.05°, γ = 94.72°
Last column: nearest neighbours and their distance in Å.
Positions (direct):
K: 0.2500 0.7500 0.5000  8 P 3.28-3.46, 2 Zn 3.60
P: 0.9058 0.9058 0.0000  1 P 2.25, 2 Zn 2.42
P: 0.5942 0.5942 0.0000  1 P 2.25, 2 Zn 2.42
Zn: 0.7500 0.2500 0.5000  4 P 2.42